## PaAgPdAu (PBE)

Data for a relaxed structure of PaAgPdAu.

## Properties
- E: -22.11 eV/cell
- Symmetry: F-43m (216)
- Energy of formation: -0.32 eV per atom

Lattice parameters (Å, degrees): 4.8525 4.8525 4.8525 60.00 60.00 60.00
With the nearest neighbours (Å) after each atom.
Fractional positions:
Pa: 0.0000 0.0000 0.0000  4 Pd 2.97, 4 Au 2.97
Ag: 0.5000 0.5000 0.5000  4 Au 2.97, 4 Pd 2.97
Pd: 0.2500 0.2500 0.2500  4 Ag 2.97, 4 Pa 2.97
Au: 0.7500 0.7500 0.7500  4 Ag 2.97, 4 Pa 2.97